The following is a DFT calculation (PBE) of an optimized crystal structure of HoZn4.

abc: 5.639 5.639 5.639
angles: 90.00 90.00 90.00
Space group Pm-3m (No. 221)
One atom of each set of equivalent atoms:
Ho 0.000 0.000 0.000 x1
Zn 0.000 0.000 0.500 x3
Zn 0.500 0.500 0.500 x1

## Properties
**Energy**: -0.038 Ha/atom
**ΔH_f (0 K)**: 4.500 eV/f.u.
**Mass density**: 3.95 g/cm3

The following is a DFT calculation (PBE) of an optimized crystal structure of Ac3Al3Ag.

abc: 11.574 4.901 15.719
angles: 90.00 111.11 90.00
Space group C2/m (No. 12)
One atom of each set of equivalent atoms:
Ac 0.026 0.000 0.271 x4
Ac 0.164 0.500 0.120 x4
Ac 0.182 0.000 0.577 x4
Al 0.025 0.500 0.424 x4
Al 0.088 0.000 0.961 x4
Al 0.178 0.500 0.730 x4
Ag 0.142 0.500 0.897 x4

## Properties
**Energy**: -0.150 Ha/atom
**ΔH_f (0 K)**: -2.102 eV/f.u.
**Mass density**: 6.94 g/cm3

The following is a DFT calculation (PBE) of an optimized crystal structure of LaAgRu2.

abc: 2.945 3.784 7.027
angles: 90.00 90.11 90.00
Space group Pm (No. 6)
One atom of each set of equivalent atoms:
La 0.000 0.000 0.000 x1
Ag 0.499 0.500 0.676 x1
Ru 0.499 0.500 0.284 x1
Ru 0.999 0.000 0.426 x1

## Properties
**Energy**: -0.235 Ha/atom
**Relative energy among the computed polymorphs**: 0.000 eV/atom
**ΔH_f (0 K)**: 0.749 eV/f.u.
**Mass density**: 9.52 g/cm3

The following is a DFT calculation (PBE) of an optimized crystal structure of K3HoTa2O9.

abc: 5.9077 5.9077 7.2682
angles: 90.00 90.00 120.00
Space group P-3m1 (No. 164)
One atom of each set of equivalent atoms:
K 0.0000 0.0000 0.0000 x1
K 0.3333 0.6667 0.6678 x2
Ho 0.0000 0.0000 0.5000 x1
Ta 0.3333 0.6667 0.1658 x2
O 0.0000 0.5000 0.0000 x3
O 0.1760 0.3520 0.3154 x6

## Properties
**Raw formation energy**: -2.46 eV per atom
**Energy**: -0.277 Ha/atom
**Mass density**: 5.96 g/cm3

The following is a DFT calculation (PBE) of an optimized crystal structure of Dy3YTm3Te8.

abc: 8.6206 8.6206 21.1707
angles: 90.00 90.00 120.00
Space group R-3m (No. 166, hexagonal axes)
One atom of each set of equivalent atoms:
Dy 0.0000 0.5000 0.0000 x9
Y 0.0000 0.0000 0.0000 x3
Tm 0.0000 0.5000 0.5000 x9
Te 0.0000 0.0000 0.2485 x6
Te 0.0072 0.5036 0.2467 x18

## Properties
**Raw formation energy**: -1.33 eV per atom
**Energy**: -0.193 Ha/atom
**Mass density**: 7.69 g/cm3

The following is a DFT calculation (PBE) of an optimized crystal structure of Pa3B7Ir.

abc: 3.496 15.946 9.508
angles: 90.00 90.00 90.00
Space group Cmcm (No. 63)
One atom of each set of equivalent atoms:
Pa 0.000 0.108 0.061 x8
Pa 0.000 0.251 0.750 x4
B 0.000 0.275 0.034 x8
B 0.000 0.366 0.152 x8
B 0.000 0.458 0.750 x4
B 0.000 0.479 0.089 x8
Ir 0.000 0.054 0.750 x4

## Properties
**Energy**: -0.298 Ha/atom
**ΔH_f (0 K)**: -5.180 eV/f.u.
**Mass density**: 12.04 g/cm3

The following is a DFT calculation (PBE) of an optimized crystal structure of Ce2SnBr8.

abc: 22.865 4.215 8.346
angles: 90.00 97.05 90.00
Space group C2/m (No. 12)
One atom of each set of equivalent atoms:
Ce 0.159 0.000 0.336 x4
Sn 0.000 0.500 0.000 x2
Br 0.020 0.000 0.253 x4
Br 0.115 0.500 0.532 x4
Br 0.133 0.500 0.062 x4
Br 0.243 0.000 0.673 x4

## Properties
**Raw formation energy**: -1.52 eV per atom
**Energy**: -0.154 Ha/atom
**Mass density**: 4.32 g/cm3

The following is a DFT calculation (PBE) of an optimized crystal structure of Tb5PmDy2Mg.

abc: 5.437 20.026 10.594
angles: 90.00 90.00 90.00
Space group Cmc2_1 (No. 36)
One atom of each set of equivalent atoms:
Tb 0.000 0.001 0.000 x4
Tb 0.000 0.115 0.251 x4
Tb 0.000 0.209 0.953 x4
Tb 0.000 0.210 0.549 x4
Tb 0.000 0.486 0.251 x4
Pm 0.000 0.293 0.251 x4
Dy 0.000 0.386 0.539 x4
Dy 0.000 0.386 0.963 x4
Mg 0.000 0.095 0.749 x4

## Properties
**Energy**: -0.154 Ha/atom
**ΔH_f (0 K)**: 0.924 eV/f.u.
**Mass density**: 7.42 g/cm3

The following is a DFT calculation (PBE) of an optimized crystal structure of Al2TlW.

abc: 3.946 4.229 8.931
angles: 90.00 90.00 90.00
Space group Cmm2 (No. 35)
One atom of each set of equivalent atoms:
Al 0.000 0.000 0.000 x2
Al 0.000 0.500 0.222 x2
Tl 0.000 0.000 0.516 x2
W 0.000 0.500 0.789 x2

## Properties
**Energy**: -0.193 Ha/atom
**Relative energy among the computed polymorphs**: 0.157 eV/atom
**ΔH_f (0 K)**: 1.769 eV/f.u.
**Mass density**: 9.85 g/cm3

The following is a DFT calculation (PBE) of an optimized crystal structure of Ac3La2Rh2.

abc: 4.053 6.916 9.110
angles: 73.05 89.91 73.05
Space group P-1 (No. 2)
One atom of each set of equivalent atoms:
Ac 0.000 0.000 0.000 x1
Ac 0.127 0.750 0.427 x2
La 0.320 0.359 0.187 x2
Rh 0.332 0.337 0.829 x2

## Properties
**Energy**: -0.211 Ha/atom
**ΔH_f (0 K)**: -3.214 eV/f.u.
**Mass density**: 8.31 g/cm3

The following is a DFT calculation (PBE) of an optimized crystal structure of KLa2MgTc.

abc: 5.447 5.447 5.734
angles: 90.00 90.00 90.00
Space group P4/mmm (No. 123)
One atom of each set of equivalent atoms:
K 0.000 0.000 0.000 x1
La 0.000 0.500 0.500 x2
Mg 0.500 0.500 0.000 x1
Tc 0.500 0.500 0.500 x1

## Properties
**Energy**: -0.163 Ha/atom
**ΔH_f (0 K)**: 0.676 eV/f.u.
**Mass density**: 4.29 g/cm3

- Look up the mass density of the eighth one.
  7.42 g/cm3